Record 1
La3CoPb | GGA-PBE | relaxed

Summary:
ΔE to the lowest computed polymorph: 266.2 meV per atom
D(E_F): 0.83 states/eV/atom
calculated density: 6.41 g cm⁻³
E_tot: -5.248 eV/atom
energy of formation: -0.1286 eV/atom
crystal system: cubic

Structure (extended XYZ):
```
20
Lattice="-5.087 -1.409 8.493 -5.329 7.489 3.938 -9.992 -0.352 -0.157" Properties=species:S:1:pos:R:3 pbc="T T T"
Pb -12.755 3.580 7.671
Pb -10.091 -0.165 5.702
Pb -10.212 4.285 3.425
Pb -7.759 3.756 7.749
Co -2.551 0.716 1.534
Co -5.216 4.461 3.503
Co -5.095 0.011 5.781
Co -7.547 0.540 1.456
La -7.199 0.354 7.521
La -7.214 3.195 2.096
La -5.190 2.759 5.665
La -2.991 -0.331 4.041
La -3.091 3.340 2.161
La -13.068 0.147 7.429
La -7.114 -0.476 3.976
La -5.015 0.105 0.472
La -7.341 5.581 4.845
La -13.210 5.374 4.753
La -10.080 0.975 2.440
La -10.329 4.753 9.834
```



Record 2
ScMn | GGA-PBE | relaxed

Summary:
D(E_F): 1.20 states/eV/atom
calculated density: 4.62 g cm⁻³
E_tot: -7.593 eV/atom
energy of formation: 0.1572 eV/atom
crystal system: tetragonal

Structure (extended XYZ):
```
4
Lattice="-3.537 -1.417 1.321 1.191 -1.729 -4.822 1.509 -3.739 0.028" Properties=species:S:1:pos:R:3 pbc="T T T"
Mn 0.000 0.000 0.000
Mn -0.926 -4.732 -1.399
Sc 0.088 -2.154 -2.074
Sc -1.014 -2.578 0.674
```



Record 3
ZrTiBeBr2 | GGA-PBE | relaxed

Summary:
formation energy without anion corrections: 0.64 eV per atom
D(E_F): 0.95 states/eV/atom
calculated density: 3.93 g cm⁻³
E_tot: -4.060 eV/atom
crystal system: tetragonal

Structure (extended XYZ):
```
5
Lattice="4.850 0.000 0.000 0.000 5.527 0.000 0.000 0.000 4.850" Properties=species:S:1:pos:R:3 pbc="T T T"
Be 2.425 2.763 2.425
Br 0.000 0.000 2.425
Br 2.425 0.000 0.000
Zr 0.000 2.763 0.000
Ti 0.000 0.000 0.000
```



Record 4
CsSm2AgSe4 | GGA-PBE | relaxed

Summary:
formation energy without anion corrections: -1.48 eV per atom
calculated density: 5.88 g cm⁻³
E_tot: -4.863 eV/atom
crystal system: orthorhombic

Structure (extended XYZ):
```
16
Lattice="-3.698 -2.155 -0.636 5.143 -3.036 -4.906 4.056 -10.052 10.473" Properties=species:S:1:pos:R:3 pbc="T T T"
Cs 3.805 -8.491 6.645
Cs 1.697 -6.751 -1.714
Sm 4.720 -8.712 2.067
Sm -0.719 -2.812 -1.009
Sm 0.781 -6.530 2.864
Sm 6.221 -12.430 5.940
Ag 3.403 -11.375 4.032
Ag 2.098 -3.867 0.899
Se 2.112 -3.137 -1.652
Se 2.175 -9.096 3.449
Se 3.390 -12.105 6.583
Se 3.326 -6.146 1.482
Se 2.028 -5.026 5.236
Se 0.000 0.000 0.000
Se 5.910 -11.120 3.307
Se -0.409 -4.122 1.625
```



Record 5
B5C7 | GGA-PBE | relaxed

Summary:
ΔE to the lowest computed polymorph: 107.3 meV per atom
D(E_F): 0.10 states/eV/atom
calculated density: 2.75 g cm⁻³
E_tot: -7.798 eV/atom
energy of formation: 0.3652 eV/atom
crystal system: monoclinic

Structure (extended XYZ):
```
12
Lattice="-0.868 1.393 -2.080 -4.027 0.989 2.342 2.771 5.451 2.494" Properties=species:S:1:pos:R:3 pbc="T T T"
B -2.997 3.453 1.875
B -1.510 2.319 0.496
B 1.384 5.882 1.674
B -1.106 4.519 3.487
B 0.492 3.316 2.015
C -2.564 1.223 0.201
C -0.329 2.064 1.519
C -3.304 2.259 2.891
C -3.951 1.043 2.346
C -0.166 5.727 3.904
C 0.694 4.562 1.078
C -2.198 4.712 2.385
```



Record 6
Rb2Ca2P | GGA-PBE | relaxed

Summary:
D(E_F): 0.71 states/eV/atom
calculated density: 2.05 g cm⁻³
E_tot: -2.470 eV/atom
energy of formation: -0.2006 eV/atom
crystal system: tetragonal

Structure (extended XYZ):
```
10
Lattice="-3.499 5.569 -4.242 -4.750 -5.372 -3.136 -4.905 1.118 5.514" Properties=species:S:1:pos:R:3 pbc="T T T"
P 0.000 0.000 0.000
P -4.124 0.099 -3.689
Ca -4.954 -2.625 -3.875
Ca -6.108 0.834 -5.603
Ca -3.295 2.822 -3.503
Ca -2.141 -0.636 -1.775
Rb -6.364 -2.090 -0.186
Rb -8.719 0.010 -2.706
Rb -6.789 3.406 -1.678
Rb -4.435 1.305 0.842
```



Record 7
HoVC | GGA-PBE | relaxed

Summary:
ΔE to the lowest computed polymorph: 37.7 meV per atom
D(E_F): 1.01 states/eV/atom
calculated density: 8.36 g cm⁻³
E_tot: -7.505 eV/atom
energy of formation: 0.1352 eV/atom
crystal system: orthorhombic

Structure (extended XYZ):
```
6
Lattice="2.979 0.000 0.000 -1.489 5.754 0.000 0.000 0.000 5.283" Properties=species:S:1:pos:R:3 pbc="T T T"
Ho 1.489 2.198 3.963
Ho 0.000 3.556 1.321
C 0.000 0.000 2.642
C 0.000 0.000 0.000
V 1.489 0.602 1.321
V 0.000 5.152 3.963
```



Record 8
Th3MnSe2 | GGA-PBE | relaxed

Summary:
formation energy without anion corrections: -0.91 eV per atom
D(E_F): 1.18 states/eV/atom
calculated density: 9.75 g cm⁻³
E_tot: -7.311 eV/atom
crystal system: orthorhombic

Structure (extended XYZ):
```
24
Lattice="5.890 -0.009 0.000 0.012 8.472 0.000 0.000 0.000 12.413" Properties=species:S:1:pos:R:3 pbc="T T T"
Th 1.480 5.120 7.121
Th 1.473 0.884 11.499
Th 1.481 5.525 11.520
Th 1.475 1.289 7.100
Th 1.480 5.541 2.919
Th 1.474 1.305 3.287
Th 4.429 7.158 9.126
Th 4.423 2.922 9.494
Th 4.428 7.174 5.313
Th 4.422 2.938 0.894
Th 4.429 7.579 0.915
Th 4.423 3.343 5.292
Mn 1.482 7.361 1.184
Mn 1.476 3.125 5.023
Mn 4.426 5.338 7.390
Mn 4.420 1.102 11.230
Se 1.484 7.443 9.163
Se 1.478 3.206 9.457
Se 1.483 7.465 5.222
Se 1.477 3.229 0.985
Se 4.426 5.234 11.428
Se 4.419 0.998 7.192
Se 4.424 5.257 2.956
Se 4.418 1.021 3.250
```



Record 9
PmSmTm2 | GGA-PBE | relaxed

Summary:
ΔE to the lowest computed polymorph: 7.2 meV per atom
D(E_F): 1.58 states/eV/atom
calculated density: 8.22 g cm⁻³
E_tot: -4.580 eV/atom
energy of formation: 0.0236 eV/atom
crystal system: tetragonal

Structure (extended XYZ):
```
4
Lattice="-1.871 -3.511 -2.994 4.344 -0.090 -2.607 1.784 -3.592 3.097" Properties=species:S:1:pos:R:3 pbc="T T T"
Tm 0.892 -1.796 1.549
Tm 2.172 -0.045 -1.304
Sm -0.935 -1.756 -1.497
Pm 2.129 -3.597 -1.252
```



Record 10
K2HgGe2 | GGA-PBE | relaxed

Summary:
ΔE to the lowest computed polymorph: 55.9 meV per atom
D(E_F): 0.49 states/eV/atom
calculated density: 4.03 g cm⁻³
E_tot: -2.303 eV/atom
energy of formation: 0.0431 eV/atom
crystal system: tetragonal

Structure (extended XYZ):
```
10
Lattice="9.811 0.000 0.000 0.000 9.811 0.000 0.000 0.000 3.634" Properties=species:S:1:pos:R:3 pbc="T T T"
K 2.901 7.807 0.000
K 7.807 6.910 0.000
K 6.910 2.004 0.000
K 2.004 2.901 0.000
Ge 0.830 5.736 1.817
Ge 5.736 8.981 1.817
Ge 8.981 4.075 1.817
Ge 4.075 0.830 1.817
Hg 0.000 0.000 0.000
Hg 4.906 4.906 0.000
```



Record 11
Sr4CaSn3O12 | GGA-PBE | relaxed

Summary:
formation energy without anion corrections: -2.12 eV per atom
D(E_F): 0.71 states/eV/atom
calculated density: 5.27 g cm⁻³
E_tot: -6.129 eV/atom
crystal system: cubic

Structure (extended XYZ):
```
20
Lattice="-0.844 2.861 -6.629 0.475 -7.235 -0.525 -5.708 1.759 4.143" Properties=species:S:1:pos:R:3 pbc="T T T"
Sr -3.039 -1.308 -1.506
Sr -2.854 0.879 2.071
Sr -0.422 1.430 -3.315
Sr 0.238 -3.617 -0.263
Ca 0.000 0.000 0.000
Sn -3.276 2.310 -1.243
Sn -0.184 -2.187 -3.577
Sn -2.617 -2.738 1.809
O -4.255 -1.583 1.187
O -4.828 3.404 -1.832
O -1.725 1.216 -0.655
O -1.822 -1.032 -4.199
O -0.272 -3.223 -5.271
O -0.097 -1.151 -1.883
O -3.368 1.216 -3.032
O -2.709 -3.831 0.020
O -4.584 0.941 -0.339
O -3.856 -4.034 2.665
O -1.493 -3.556 -2.673
O -1.377 -1.441 0.952
```



Record 12
Pm2TlH3 | GGA-PBE | relaxed

Summary:
D(E_F): 0.36 states/eV/atom
calculated density: 8.09 g cm⁻³
E_tot: -4.177 eV/atom
crystal system: monoclinic

Structure (extended XYZ):
```
12
Lattice="-1.423 -3.421 -0.944 8.510 -0.513 -3.227 -3.670 -0.646 7.871" Properties=species:S:1:pos:R:3 pbc="T T T"
Pm -3.389 -2.332 5.817
Pm 6.806 -2.247 -2.117
Pm -0.048 -1.194 4.400
Pm 3.465 -3.385 -0.700
Tl 1.554 -0.924 1.007
Tl 1.863 -3.655 2.693
H -1.270 -3.072 5.302
H -2.188 -0.506 5.131
H 4.373 -2.026 0.749
H -0.955 -2.553 2.951
H 5.605 -4.073 -1.431
H 4.687 -1.507 -1.602
```